! Na2IrCl6 (GGA-PBE, relaxed); values from VASP
&SYSTEM
  ibrav = 0, nat = 18, ntyp = 3
/
ATOMIC_SPECIES
Na 22.99 Na.upf
Ir 192.22 Ir.upf
Cl 35.45 Cl.upf
ATOMIC_POSITIONS crystal
Na 0.9689 0.4051 0.7705
Na 0.5311 0.9051 0.7295
Na 0.4689 0.0949 0.2705
Na 0.0311 0.5949 0.2295
Ir 0.5000 0.5000 0.0000
Ir 0.0000 0.0000 0.5000
Cl 0.8756 0.9726 0.2670
Cl 0.8319 0.7187 0.5563
Cl 0.7826 0.6817 0.9441
Cl 0.7174 0.1817 0.5559
Cl 0.6681 0.2187 0.9437
Cl 0.6244 0.4726 0.2330
Cl 0.1244 0.0274 0.7330
Cl 0.1681 0.2813 0.4437
Cl 0.2174 0.3183 0.0559
Cl 0.2826 0.8183 0.4441
Cl 0.3319 0.7813 0.0563
Cl 0.3756 0.5274 0.7670
CELL_PARAMETERS angstrom
-6.2456 -1.2583 -2.0137
2.3683 -5.0570 -4.1855
-0.5533 -6.2249 7.2078
! **SG**: No. 14
! **ΔE_f (raw)**: -1050 meV/atom
! **Size of the total moment**: 1.1 μB/f.u.